[1]
# GaTeSeN2

Crystalline GaTeSeN2 at its relaxed geometry (PBE, Alexandria).

Cell lengths 3.9844, 3.9844, 5.8932 Å; angles 90.00, 90.00, 90.00 degrees
With the nearest neighbours (Å) after each atom.
Positions (direct):
Te: 0.0000 0.0000 0.0000  4 N 1.99
Ga: 0.5000 0.5000 0.5000  4 Se 2.82
Se: 0.0000 0.0000 0.5000  4 Ga 2.82, 2 Te 2.95
N: 0.0000 0.5000 0.0000  2 Te 1.99
N: 0.5000 0.0000 0.0000  2 Te 1.99

Summary:
* mass density: 5.401 g/cm³
* ΔE to the lowest computed polymorph: 0.0 meV/atom
* E: -20.44 eV/cell
* raw formation energy: 1173 meV/atom
* SG: P4/mmm (123)

[2]
# KNa5As2

Crystalline KNa5As2 at its relaxed geometry (PBE, Alexandria).

Cell lengths 4.9668, 7.6349, 7.6349 Å; angles 72.87, 71.02, 71.02 degrees
With the nearest neighbours (Å) after each atom.
Positions (direct):
K: 0.0000 0.0000 0.0000  4 As 3.72, 4 Na 3.79
Na: 0.0000 0.5000 0.5000  2 As 2.85
Na: 0.6943 0.4822 0.1293  3 As 2.99-3.03, 3 Na 3.09-3.20
Na: 0.3057 0.5178 0.8707  3 As 2.99-3.03, 3 Na 3.09-3.20
Na: 0.3057 0.8707 0.5178  3 As 2.99-3.03, 3 Na 3.09-3.20
Na: 0.6943 0.1293 0.4822  3 As 2.99-3.03, 3 Na 3.09-3.20
As: 0.7463 0.7537 0.7537  7 Na 2.85-3.03
As: 0.2537 0.2463 0.2463  7 Na 2.85-3.03

Summary:
* energy relative to the elements: -366.3 meV per atom
* mass density: 1.994 g/cm³
* E: -19.92 eV/cell
* SG: Immm (71)

[3]
# K12Hg5I3

Crystalline K12Hg5I3 at its relaxed geometry (PBE, Alexandria).

Cell lengths 17.9070, 17.9070, 17.9070 Å; angles 109.47, 109.47, 109.47 degrees
With the nearest neighbours (Å) after each atom.
Positions (direct):
I: 0.7500 0.3750 0.1250  4 K 3.61
I: 0.8750 0.7500 0.1250  4 K 3.61
I: 0.3750 0.7500 0.6250  4 K 3.61
I: 0.2500 0.1250 0.3750  4 K 3.61
I: 0.8750 0.1250 0.2500  4 K 3.61
I: 0.3750 0.6250 0.2500  4 K 3.61
I: 0.6250 0.3750 0.7500  4 K 3.61
I: 0.1250 0.8750 0.7500  4 K 3.61
I: 0.7500 0.8750 0.6250  4 K 3.61
I: 0.6250 0.2500 0.3750  4 K 3.61
I: 0.1250 0.2500 0.8750  4 K 3.61
I: 0.2500 0.6250 0.8750  4 K 3.61
Hg: 0.1250 0.3750 0.2500  4 K 3.37
Hg: 0.0000 0.5000 0.0000  6 K 3.47
Hg: 0.0000 0.0000 0.0000  6 K 3.47
Hg: 0.3750 0.2500 0.1250  4 K 3.37
Hg: 0.5000 0.0000 0.5000  6 K 3.47
Hg: 0.5000 0.5000 0.0000  6 K 3.47
Hg: 0.1250 0.7500 0.3750  4 K 3.37
Hg: 0.7500 0.1250 0.8750  4 K 3.37
Hg: 0.7500 0.6250 0.3750  4 K 3.37
Hg: 0.3750 0.1250 0.7500  4 K 3.37
Hg: 0.6250 0.8750 0.2500  4 K 3.37
Hg: 0.5000 0.5000 0.5000  6 K 3.47
Hg: 0.5000 0.0000 0.0000  6 K 3.47
Hg: 0.0000 0.0000 0.5000  6 K 3.47
Hg: 0.2500 0.3750 0.6250  4 K 3.37
Hg: 0.2500 0.8750 0.1250  4 K 3.37
Hg: 0.0000 0.5000 0.5000  6 K 3.47
Hg: 0.8750 0.2500 0.6250  4 K 3.37
Hg: 0.6250 0.7500 0.8750  4 K 3.37
Hg: 0.8750 0.6250 0.7500  4 K 3.37
K: 0.7243 0.1172 0.0507  2 Hg 3.37-3.47, 1 I 3.61
K: 0.3265 0.5507 0.4336  2 Hg 3.37-3.47, 1 I 3.61
K: 0.9493 0.3828 0.2757  2 Hg 3.37-3.47, 1 I 3.61
K: 0.5507 0.2243 0.1172  2 Hg 3.37-3.47, 1 I 3.61
K: 0.6071 0.7243 0.6735  2 Hg 3.37-3.47, 1 I 3.61
K: 0.9493 0.5664 0.1735  2 Hg 3.37-3.47, 1 I 3.61
K: 0.3265 0.7757 0.3929  2 Hg 3.37-3.47, 1 I 3.61
K: 0.0664 0.8929 0.1172  2 Hg 3.37-3.47, 1 I 3.61
K: 0.5664 0.9493 0.6735  2 Hg 3.37-3.47, 1 I 3.61
K: 0.7243 0.6071 0.1735  2 Hg 3.37-3.47, 1 I 3.61
K: 0.7757 0.4493 0.3828  2 Hg 3.37-3.47, 1 I 3.61
K: 0.8265 0.9336 0.0507  2 Hg 3.37-3.47, 1 I 3.61
K: 0.1172 0.7243 0.5507  2 Hg 3.37-3.47, 1 I 3.61
K: 0.3828 0.4336 0.1071  2 Hg 3.37-3.47, 1 I 3.61
K: 0.1071 0.9336 0.3828  2 Hg 3.37-3.47, 1 I 3.61
K: 0.3929 0.1172 0.5664  2 Hg 3.37-3.47, 1 I 3.61
K: 0.1071 0.1735 0.2243  2 Hg 3.37-3.47, 1 I 3.61
K: 0.4493 0.6735 0.0664  2 Hg 3.37-3.47, 1 I 3.61
K: 0.8265 0.8929 0.2757  2 Hg 3.37-3.47, 1 I 3.61
K: 0.1172 0.3929 0.0664  2 Hg 3.37-3.47, 1 I 3.61
K: 0.3828 0.9493 0.7757  2 Hg 3.37-3.47, 1 I 3.61
K: 0.5664 0.6172 0.3929  2 Hg 3.37-3.47, 1 I 3.61
K: 0.9336 0.8265 0.5507  2 Hg 3.37-3.47, 1 I 3.61
K: 0.7757 0.3265 0.8929  2 Hg 3.37-3.47, 1 I 3.61
K: 0.4336 0.3828 0.6071  2 Hg 3.37-3.47, 1 I 3.61
K: 0.0664 0.1735 0.4493  2 Hg 3.37-3.47, 1 I 3.61
K: 0.2243 0.6735 0.1071  2 Hg 3.37-3.47, 1 I 3.61
K: 0.1735 0.1071 0.7243  2 Hg 3.37-3.47, 1 I 3.61
K: 0.6172 0.0507 0.2243  2 Hg 3.37-3.47, 1 I 3.61
K: 0.8828 0.6071 0.9336  2 Hg 3.37-3.47, 1 I 3.61
K: 0.5507 0.3265 0.9336  2 Hg 3.37-3.47, 1 I 3.61
K: 0.6071 0.8828 0.4336  2 Hg 3.37-3.47, 1 I 3.61
K: 0.8929 0.8265 0.7757  2 Hg 3.37-3.47, 1 I 3.61
K: 0.8929 0.0664 0.6172  2 Hg 3.37-3.47, 1 I 3.61
K: 0.8828 0.2757 0.4493  2 Hg 3.37-3.47, 1 I 3.61
K: 0.1735 0.0664 0.9493  2 Hg 3.37-3.47, 1 I 3.61
K: 0.6172 0.5664 0.8929  2 Hg 3.37-3.47, 1 I 3.61
K: 0.4336 0.0507 0.3265  2 Hg 3.37-3.47, 1 I 3.61
K: 0.2757 0.3929 0.8265  2 Hg 3.37-3.47, 1 I 3.61
K: 0.2243 0.5507 0.6172  2 Hg 3.37-3.47, 1 I 3.61
K: 0.9336 0.1071 0.8828  2 Hg 3.37-3.47, 1 I 3.61
K: 0.6735 0.2243 0.6071  2 Hg 3.37-3.47, 1 I 3.61
K: 0.4493 0.7757 0.8828  2 Hg 3.37-3.47, 1 I 3.61
K: 0.0507 0.4336 0.8265  2 Hg 3.37-3.47, 1 I 3.61
K: 0.3929 0.2757 0.3265  2 Hg 3.37-3.47, 1 I 3.61
K: 0.0507 0.6172 0.7243  2 Hg 3.37-3.47, 1 I 3.61
K: 0.6735 0.4493 0.5664  2 Hg 3.37-3.47, 1 I 3.61
K: 0.2757 0.8828 0.9493  2 Hg 3.37-3.47, 1 I 3.61

Summary:
* mass density: 2.784 g/cm³
* E: -107.38 eV/cell
* raw formation energy: -376 meV/atom
* SG: Ia-3d (230)

[4]
# SrHg2As

Crystalline SrHg2As at its relaxed geometry (PBE, Alexandria).

Cell lengths 6.1051, 6.1051, 6.1051 Å; angles 46.98, 46.98, 46.98 degrees
With the nearest neighbours (Å) after each atom.
Positions (direct):
Sr: 0.2500 0.2500 0.2500  6 Hg 3.26
As: 0.7500 0.7500 0.7500  6 Hg 3.00
Hg: 0.0180 0.0180 0.0180  3 As 3.00, 3 Sr 3.26
Hg: 0.4820 0.4820 0.4820  3 As 3.00, 3 Sr 3.26

Summary:
* energy relative to the elements: -348.1 meV per atom
* mass density: 8.419 g/cm³
* E: -8.33 eV/cell
* SG: R-3m (166)

[5]
# La2TbPuS4

Crystalline La2TbPuS4 at its relaxed geometry (PBE, Alexandria).

Cell lengths 4.0270, 6.9986, 7.0580 Å; angles 109.16, 90.00, 90.00 degrees
With the nearest neighbours (Å) after each atom.
Positions (direct):
La: 0.5000 0.0000 0.5000  6 S 2.92-2.93
La: 0.0000 0.5000 0.5000  6 S 2.93
Tb: 0.0000 0.0000 0.0000  6 S 2.80
Pu: 0.5000 0.5000 0.0000  6 S 2.81
S: 0.5000 0.2429 0.2333  2 Tb 2.80, 1 Pu 2.81, 3 La 2.92-2.93
S: 0.5000 0.7571 0.7667  2 Tb 2.80, 1 Pu 2.81, 3 La 2.92-2.93
S: 0.0000 0.2544 0.7662  1 Tb 2.80, 2 Pu 2.81, 3 La 2.93
S: 0.0000 0.7456 0.2338  1 Tb 2.80, 2 Pu 2.81, 3 La 2.93

Summary:
* mass density: 7.149 g/cm³
* E: -61.60 eV/cell
* raw formation energy: -2035 meV/atom
* SG: P2/m (10)

[6]
# TcI2O8

Crystalline TcI2O8 at its relaxed geometry (PBE, Alexandria).

Cell lengths 4.9111, 5.9014, 5.9014 Å; angles 73.86, 103.39, 103.39 degrees
With the nearest neighbours (Å) after each atom.
Positions (direct):
Tc: 0.0000 0.0000 0.0000  2 O 1.77
I: 0.4848 0.2998 0.2998  3 O 1.80-1.95
I: 0.5152 0.7002 0.7002  3 O 1.80-1.95
O: 0.7218 0.0295 0.6736  1 I 1.95, 1 Tc 2.08
O: 0.2782 0.3264 0.9705  1 I 1.95, 1 Tc 2.08
O: 0.7766 0.1173 0.1173  1 Tc 1.77
O: 0.2234 0.8827 0.8827  1 Tc 1.77
O: 0.7218 0.6736 0.0295  1 I 1.95, 1 Tc 2.08
O: 0.2782 0.9705 0.3264  1 I 1.95, 1 Tc 2.08
O: 0.2289 0.4037 0.4037  1 I 1.80
O: 0.7711 0.5963 0.5963  1 I 1.80

Summary:
* mass density: 5.067 g/cm³
* E: -58.48 eV/cell
* raw formation energy: -486 meV/atom
* SG: C2/m (12)

[7]
# SrHf4Te8

Crystalline SrHf4Te8 at its relaxed geometry (PBE, Alexandria).

Cell lengths 8.5963, 8.5963, 8.5963 Å; angles 60.00, 60.00, 60.00 degrees
With the nearest neighbours (Å) after each atom.
Positions (direct):
Sr: 0.7500 0.7500 0.7500  4 Te 3.03
Hf: 0.9083 0.3639 0.3639  6 Te 2.90-2.99
Hf: 0.3639 0.9083 0.3639  6 Te 2.90-2.99
Hf: 0.3639 0.3639 0.9083  6 Te 2.90-2.99
Hf: 0.3639 0.3639 0.3639  6 Te 2.90-2.99
Te: 0.6219 0.1260 0.1260  3 Hf 2.90
Te: 0.1260 0.6219 0.1260  3 Hf 2.90
Te: 0.1260 0.1260 0.6219  3 Hf 2.90
Te: 0.1260 0.1260 0.1260  3 Hf 2.90
Te: 0.1813 0.6062 0.6062  3 Hf 2.99, 1 Sr 3.03
Te: 0.6062 0.1813 0.6062  3 Hf 2.99, 1 Sr 3.03
Te: 0.6062 0.6062 0.1813  3 Hf 2.99, 1 Sr 3.03
Te: 0.6062 0.6062 0.6062  3 Hf 2.99, 1 Sr 3.03

Summary:
* mass density: 6.737 g/cm³
* ΔE to the lowest computed polymorph: 148.9 meV/atom
* E: -76.88 eV/cell
* raw formation energy: -788 meV/atom
* SG: F-43m (216)

[8]
# ZnCrMo2

Crystalline ZnCrMo2 at its relaxed geometry (PBE, Alexandria).

Cell lengths 3.8073, 3.8539, 3.9017 Å; angles 90.00, 90.00, 90.00 degrees
With the nearest neighbours (Å) after each atom.
Positions (direct):
Cr: 0.0000 0.5000 0.5000  4 Zn 2.71, 8 Mo 2.73-2.74
Mo: 0.0000 0.0000 0.0000  4 Mo 2.71, 4 Zn 2.73, 4 Cr 2.74
Mo: 0.5000 0.5000 0.0000  4 Mo 2.71, 4 Cr 2.73, 4 Zn 2.74
Zn: 0.5000 0.0000 0.5000  4 Cr 2.71, 8 Mo 2.73-2.74

Summary:
* energy relative to the elements: 219.2 meV per atom
* mass density: 8.971 g/cm³
* E: -31.68 eV/cell
* SG: Pmmm (47)